KRb3Hg7: optimized geometry, PBE-GGA.

Calculated values
**D(E_F)**: 0.57 states/eV per atom
**Space-group type**: Cmcm, No. 63
**Crystal system**: orthorhombic
**Calculated formation energy**: -2.54 eV/f.u.
**M_tot**: 0.00 μB per formula unit

Cell lengths 12.1944, 12.1944, 15.5232 Å; angles 90.00, 90.00, 157.34 degrees
Closest atoms and distances in Å follow each position.
Fractional positions:
K  0.0313  0.9687  0.7500  10 Hg 3.47-3.73
K  0.9687  0.0313  0.2500  10 Hg 3.47-3.73
Rb  0.1148  0.8852  0.0424  9 Hg 3.72-4.07
Rb  0.1148  0.8852  0.4576  9 Hg 3.72-4.07
Rb  0.2421  0.7579  0.7500  9 Hg 3.91-4.06
Rb  0.7579  0.2421  0.2500  9 Hg 3.91-4.06
Rb  0.8852  0.1148  0.5424  9 Hg 3.72-4.07
Rb  0.8852  0.1148  0.9576  9 Hg 3.72-4.07
Hg  0.2705  0.7295  0.0517  3 Hg 2.98-3.04
Hg  0.2705  0.7295  0.4483  3 Hg 2.98-3.04
Hg  0.3766  0.6234  0.1526  3 Hg 2.98-3.10
Hg  0.3766  0.6234  0.3474  3 Hg 2.98-3.10
Hg  0.4119  0.5881  0.7500  2 Hg 3.18
Hg  0.4993  0.5007  0.5957  3 Hg 2.97-3.18
Hg  0.4993  0.5007  0.9043  3 Hg 2.97-3.18
Hg  0.5007  0.4993  0.0957  3 Hg 2.97-3.18
Hg  0.5007  0.4993  0.4043  3 Hg 2.97-3.18
Hg  0.5881  0.4119  0.2500  2 Hg 3.18
Hg  0.6234  0.3766  0.6526  3 Hg 2.98-3.10
Hg  0.6234  0.3766  0.8474  3 Hg 2.98-3.10
Hg  0.7295  0.2705  0.5517  3 Hg 2.98-3.04
Hg  0.7295  0.2705  0.9483  3 Hg 2.98-3.04